(1)
# BaSrSe | Alexandria | PBE | optimized geometry
# * ρ: 3546 kg/m³
# * distance to the lowest polymorph of the same formula: 965 meV/atom
# * formation energy (no corrections): -0.29 eV/atom
# * total magnetization: 0.000 μB per atom
# * final energy: -31.8 eV/cell
data_BaSrSe
_cell_length_a 8.288
_cell_length_b 8.288
_cell_length_c 8.288
_cell_angle_alpha 90.00
_cell_angle_beta 90.00
_cell_angle_gamma 90.00
_space_group_name_H-M_alt 'F -4 3 m'
_space_group_IT_number 216
_space_group_name_Hall 'F -4 2 3'
loop_
_atom_site_label
_atom_site_type_symbol
_atom_site_fract_x
_atom_site_fract_y
_atom_site_fract_z
Ba1 Ba 0.000 0.000 0.000
Sr1 Sr 0.250 0.250 0.250
Se1 Se 0.250 0.250 0.750



(2)
# Sm3HoSe6 | Alexandria | PBE | optimized geometry
# * ρ: 5866 kg/m³
# * formation energy (no corrections): -1.86 eV/atom
# * total magnetization: 0.000 μB per atom
# * final energy: -349.4 eV/cell
data_Sm3HoSe6
_cell_length_a 12.1554
_cell_length_b 12.1554
_cell_length_c 14.4655
_cell_angle_alpha 90.00
_cell_angle_beta 90.00
_cell_angle_gamma 120.00
_space_group_name_H-M_alt 'R -3'
_space_group_IT_number 148
_space_group_name_Hall '-R 3'
loop_
_atom_site_label
_atom_site_type_symbol
_atom_site_fract_x
_atom_site_fract_y
_atom_site_fract_z
Sm1 Sm 0.0520 0.7804 0.2014
Ho1 Ho 0.0000 0.0000 0.0000
Ho2 Ho 0.0000 0.0000 0.5000
Se1 Se 0.0197 0.8104 0.3975
Se2 Se 0.0325 0.8387 0.8779



(3)
# NaAcPbSe3 | Alexandria | PBE | optimized geometry
# * ρ: 5801 kg/m³
# * formation energy (no corrections): -1.25 eV/atom
# * total magnetization: 0.000 μB per atom
# * final energy: -54.2 eV/cell
data_NaAcPbSe3
_cell_length_a 9.156
_cell_length_b 4.301
_cell_length_c 10.206
_cell_angle_alpha 90.00
_cell_angle_beta 98.63
_cell_angle_gamma 90.00
_space_group_name_H-M_alt 'P 1 21/m 1'
_space_group_IT_number 11
loop_
_space_group_symop_operation_xyz
'x,y,z'
'-x,-y,-z'
'-x,y+1/2,-z'
'x,-y+1/2,z'
loop_
_atom_site_label
_atom_site_type_symbol
_atom_site_fract_x
_atom_site_fract_y
_atom_site_fract_z
Na1 Na 0.133 0.250 0.093
Ac1 Ac 0.161 0.250 0.704
Pb1 Pb 0.345 0.750 0.364
Se1 Se 0.107 0.250 0.383
Se2 Se 0.190 0.750 0.924
Se3 Se 0.404 0.750 0.642



(4)
# Cs4HoPa3S12 | Alexandria | PBE | optimized geometry
# * ρ: 4874 kg/m³
# * formation energy (no corrections): -1.50 eV/atom
# * total magnetization: 0.000 μB per atom
# * final energy: -231.9 eV/cell
data_Cs4HoPa3S12
_cell_length_a 10.653
_cell_length_b 10.653
_cell_length_c 10.653
_cell_angle_alpha 90.00
_cell_angle_beta 90.00
_cell_angle_gamma 90.00
_space_group_name_H-M_alt 'I m -3 m'
_space_group_IT_number 229
_space_group_name_Hall '-I 4 2 3'
loop_
_atom_site_label
_atom_site_type_symbol
_atom_site_fract_x
_atom_site_fract_y
_atom_site_fract_z
Cs1 Cs 0.250 0.250 0.250
Ho1 Ho 0.000 0.000 0.000
Pa1 Pa 0.000 0.000 0.500
S1 S 0.000 0.000 0.257
S2 S 0.000 0.250 0.500



(5)
# Tc2PtCl | Alexandria | PBE | optimized geometry
# * ρ: 11996 kg/m³
# * distance to the lowest polymorph of the same formula: 413 meV/atom
# * formation energy (no corrections): 0.53 eV/atom
# * total magnetization: 0.000 μB per atom
# * final energy: -26.5 eV/cell
data_Tc2PtCl
_cell_length_a 2.979
_cell_length_b 2.979
_cell_length_c 6.654
_cell_angle_alpha 90.00
_cell_angle_beta 90.00
_cell_angle_gamma 90.00
_space_group_name_H-M_alt 'P 4/m m m'
_space_group_IT_number 123
_space_group_name_Hall '-P 4 2'
loop_
_atom_site_label
_atom_site_type_symbol
_atom_site_fract_x
_atom_site_fract_y
_atom_site_fract_z
Tc1 Tc 0.000 0.000 0.238
Pt1 Pt 0.500 0.500 0.500
Cl1 Cl 0.500 0.500 0.000



(6)
# LaHo3Er3 | Alexandria | PBE | optimized geometry
# * ρ: 8094 kg/m³
# * distance to the lowest polymorph of the same formula: 216 meV/atom
# * total magnetization: 0.000 μB per atom
# * ΔE_f: 0.233 eV/atom
# * final energy: -245.8 eV/cell
data_LaHo3Er3
_cell_length_a 12.306
_cell_length_b 12.306
_cell_length_c 12.306
_cell_angle_alpha 90.00
_cell_angle_beta 90.00
_cell_angle_gamma 90.00
_space_group_name_H-M_alt 'I -4 3 m'
_space_group_IT_number 217
_space_group_name_Hall 'I -4 2 3'
loop_
_atom_site_label
_atom_site_type_symbol
_atom_site_fract_x
_atom_site_fract_y
_atom_site_fract_z
La1 La 0.129 0.129 0.871
Ho1 Ho 0.065 0.366 0.366
Er1 Er 0.097 0.097 0.292



(7)
# KZn4Ag3Br12 | Alexandria | PBE | optimized geometry
# * ρ: 3825 kg/m³
# * formation energy (no corrections): -0.73 eV/atom
# * total magnetization: 0.000 μB per atom
# * final energy: -148.2 eV/cell
data_KZn4Ag3Br12
_cell_length_a 14.7709
_cell_length_b 14.7709
_cell_length_c 10.9137
_cell_angle_alpha 90.00
_cell_angle_beta 90.00
_cell_angle_gamma 120.00
_space_group_name_H-M_alt 'R 3 2'
_space_group_IT_number 155
_space_group_name_Hall 'R 3 2"'
loop_
_atom_site_label
_atom_site_type_symbol
_atom_site_fract_x
_atom_site_fract_y
_atom_site_fract_z
K1 K 0.0000 0.0000 0.0000
Zn1 Zn 0.0000 0.0000 0.5000
Zn2 Zn 0.0000 0.4382 0.5000
Ag1 Ag 0.0000 0.5539 0.0000
Br1 Br 0.0000 0.5975 0.5000
Br2 Br 0.0000 0.8408 0.5000
Br3 Br 0.0512 0.2215 0.1688



(8)
# MgZrAl3 | Alexandria | PBE | optimized geometry
# * ρ: 2915 kg/m³
# * distance to the lowest polymorph of the same formula: 38 meV/atom
# * total magnetization: 0.000 μB per atom
# * ΔE_f: 0.873 eV/atom
# * final energy: -17.0 eV/cell
data_MgZrAl3
_cell_length_a 4.819
_cell_length_b 4.819
_cell_length_c 4.819
_cell_angle_alpha 90.00
_cell_angle_beta 90.00
_cell_angle_gamma 90.00
_space_group_name_H-M_alt 'P m -3 m'
_space_group_IT_number 221
_space_group_name_Hall '-P 4 2 3'
loop_
_atom_site_label
_atom_site_type_symbol
_atom_site_fract_x
_atom_site_fract_y
_atom_site_fract_z
Mg1 Mg 0.000 0.000 0.000
Zr1 Zr 0.500 0.500 0.500
Al1 Al 0.000 0.000 0.500



Q: What is the final energy in the eighth record?
A: -17.0 eV/cell